Record 1
# AlAgHg2

A geometry-optimized AlAgHg2 structure (PBE, the Alexandria database).

```
data_AlAgHg2
_chemical_formula_sum 'Al1 Ag1 Hg2'
_cell_length_a 3.214
_cell_length_b 4.938
_cell_length_c 5.320
_cell_angle_alpha 90.00
_cell_angle_beta 90.00
_cell_angle_gamma 90.00
_space_group_name_H-M_alt 'P m m m'
_space_group_IT_number 47
_space_group_name_Hall '-P 2 2'
loop_
_atom_site_label
_atom_site_type_symbol
_atom_site_fract_x
_atom_site_fract_y
_atom_site_fract_z
_atom_site_occupancy
Al1 Al 0.000 0.000 0.000 1
Ag1 Ag 0.500 0.000 0.500 1
Hg1 Hg 0.000 0.500 0.500 1
Hg2 Hg 0.500 0.500 0.000 1
```

crystal system: orthorhombic
energy of formation: 0.18 eV/atom
total magnetization: 0.00 Bohr magnetons per cell

Record 2
# AlAg2Hg

A geometry-optimized AlAg2Hg structure (PBE, the Alexandria database).

```
data_AlAg2Hg
_chemical_formula_sum 'Al2 Ag4 Hg2'
_cell_length_a 9.809
_cell_length_b 3.064
_cell_length_c 5.061
_cell_angle_alpha 90.00
_cell_angle_beta 101.05
_cell_angle_gamma 90.00
_space_group_name_H-M_alt 'C 1 m 1'
_space_group_IT_number 8
_space_group_name_Hall 'C -2y'
loop_
_atom_site_label
_atom_site_type_symbol
_atom_site_fract_x
_atom_site_fract_y
_atom_site_fract_z
_atom_site_occupancy
Al1 Al 0.000 0.000 0.000 1
Ag1 Ag 0.008 0.500 0.525 1
Ag2 Ag 0.263 0.000 0.770 1
Hg1 Hg 0.248 0.500 0.259 1
```

crystal system: monoclinic
polymorph energy (0 for the lowest one): 43.9 meV/atom
energy of formation: 0.07 eV/atom
total magnetization: 0.00 Bohr magnetons per cell

Record 3
# Al2Ag2Hg

A geometry-optimized Al2Ag2Hg structure (PBE, the Alexandria database).

```
data_Al2Ag2Hg
_chemical_formula_sum 'Al4 Ag4 Hg2'
_cell_length_a 3.895
_cell_length_b 3.895
_cell_length_c 13.123
_cell_angle_alpha 90.00
_cell_angle_beta 90.00
_cell_angle_gamma 90.00
_space_group_name_H-M_alt 'I 4/m m m'
_space_group_IT_number 139
_space_group_name_Hall '-I 4 2'
loop_
_atom_site_label
_atom_site_type_symbol
_atom_site_fract_x
_atom_site_fract_y
_atom_site_fract_z
_atom_site_occupancy
Al1 Al 0.000 0.500 0.250 1
Ag1 Ag 0.000 0.000 0.109 1
Hg1 Hg 0.000 0.000 0.500 1
```

crystal system: tetragonal
polymorph energy (0 for the lowest one): 78.8 meV/atom
energy of formation: 0.12 eV/atom
total magnetization: 0.00 Bohr magnetons per cell

Record 4
# AlAgHg2

A geometry-optimized AlAgHg2 structure (PBE, the Alexandria database).

```
data_AlAgHg2
_chemical_formula_sum 'Al2 Ag2 Hg4'
_cell_length_a 9.345
_cell_length_b 3.621
_cell_length_c 5.026
_cell_angle_alpha 90.00
_cell_angle_beta 100.73
_cell_angle_gamma 90.00
_space_group_name_H-M_alt 'C 1 m 1'
_space_group_IT_number 8
_space_group_name_Hall 'C -2y'
loop_
_atom_site_label
_atom_site_type_symbol
_atom_site_fract_x
_atom_site_fract_y
_atom_site_fract_z
_atom_site_occupancy
Al1 Al 0.000 0.000 0.000 1
Ag1 Ag 0.263 0.000 0.787 1
Hg1 Hg 0.012 0.500 0.539 1
Hg2 Hg 0.251 0.500 0.250 1
```

crystal system: monoclinic
energy of formation: 0.12 eV/atom
total magnetization: 0.00 Bohr magnetons per cell

Record 5
# AlAgHg2

A geometry-optimized AlAgHg2 structure (PBE, the Alexandria database).

```
data_AlAgHg2
_chemical_formula_sum 'Al1 Ag1 Hg2'
_cell_length_a 3.190
_cell_length_b 4.082
_cell_length_c 6.284
_cell_angle_alpha 90.00
_cell_angle_beta 90.00
_cell_angle_gamma 90.00
_space_group_name_H-M_alt 'P m m m'
_space_group_IT_number 47
_space_group_name_Hall '-P 2 2'
loop_
_atom_site_label
_atom_site_type_symbol
_atom_site_fract_x
_atom_site_fract_y
_atom_site_fract_z
_atom_site_occupancy
Al1 Al 0.000 0.000 0.000 1
Ag1 Ag 0.000 0.000 0.500 1
Hg1 Hg 0.500 0.500 0.248 1
```

crystal system: orthorhombic
energy of formation: 0.14 eV/atom
total magnetization: 0.00 Bohr magnetons per cell

Record 6
# AlAgHg2

A geometry-optimized AlAgHg2 structure (PBE, the Alexandria database).

```
data_AlAgHg2
_chemical_formula_sum 'Al2 Ag2 Hg4'
_cell_length_a 3.280
_cell_length_b 5.481
_cell_length_c 9.409
_cell_angle_alpha 90.00
_cell_angle_beta 90.00
_cell_angle_gamma 90.00
_space_group_name_H-M_alt 'I m m m'
_space_group_IT_number 71
_space_group_name_Hall '-I 2 2'
loop_
_atom_site_label
_atom_site_type_symbol
_atom_site_fract_x
_atom_site_fract_y
_atom_site_fract_z
_atom_site_occupancy
Al1 Al 0.000 0.000 0.000 1
Ag1 Ag 0.000 0.000 0.500 1
Hg1 Hg 0.000 0.500 0.258 1
```

crystal system: orthorhombic
energy of formation: 0.17 eV/atom
total magnetization: 0.00 Bohr magnetons per cell

Record 7
# AlAg2Hg

A geometry-optimized AlAg2Hg structure (PBE, the Alexandria database).

```
data_AlAg2Hg
_chemical_formula_sum 'Al2 Ag4 Hg2'
_cell_length_a 3.081
_cell_length_b 5.086
_cell_length_c 9.575
_cell_angle_alpha 90.00
_cell_angle_beta 90.00
_cell_angle_gamma 90.00
_space_group_name_H-M_alt 'I m m m'
_space_group_IT_number 71
_space_group_name_Hall '-I 2 2'
loop_
_atom_site_label
_atom_site_type_symbol
_atom_site_fract_x
_atom_site_fract_y
_atom_site_fract_z
_atom_site_occupancy
Al1 Al 0.000 0.000 0.000 1
Ag1 Ag 0.000 0.500 0.269 1
Hg1 Hg 0.000 0.000 0.500 1
```

crystal system: orthorhombic
polymorph energy (0 for the lowest one): 38.6 meV/atom
energy of formation: 0.06 eV/atom
total magnetization: 0.00 Bohr magnetons per cell

Record 8
# AlAg6Hg

A geometry-optimized AlAg6Hg structure (PBE, the Alexandria database).

```
data_AlAg6Hg
_chemical_formula_sum 'Al1 Ag6 Hg1'
_cell_length_a 5.342
_cell_length_b 5.349
_cell_length_c 5.351
_cell_angle_alpha 83.61
_cell_angle_beta 83.51
_cell_angle_gamma 83.65
_space_group_name_H-M_alt 'P -1'
_space_group_IT_number 2
_space_group_name_Hall '-P 1'
loop_
_atom_site_label
_atom_site_type_symbol
_atom_site_fract_x
_atom_site_fract_y
_atom_site_fract_z
_atom_site_occupancy
Al1 Al 0.000 0.000 0.000 1
Ag1 Ag 0.029 0.517 0.242 1
Ag2 Ag 0.242 0.028 0.518 1
Ag3 Ag 0.485 0.758 0.973 1
Hg1 Hg 0.500 0.500 0.500 1
```

crystal system: triclinic
polymorph energy (0 for the lowest one): 72.5 meV/atom
energy of formation: 0.08 eV/atom
total magnetization: 0.00 Bohr magnetons per cell

Record 9
# AlAg2Hg

A geometry-optimized AlAg2Hg structure (PBE, the Alexandria database).

```
data_AlAg2Hg
_chemical_formula_sum 'Al1 Ag2 Hg1'
_cell_length_a 3.036
_cell_length_b 3.921
_cell_length_c 6.236
_cell_angle_alpha 90.00
_cell_angle_beta 90.00
_cell_angle_gamma 90.00
_space_group_name_H-M_alt 'P m m m'
_space_group_IT_number 47
_space_group_name_Hall '-P 2 2'
loop_
_atom_site_label
_atom_site_type_symbol
_atom_site_fract_x
_atom_site_fract_y
_atom_site_fract_z
_atom_site_occupancy
Al1 Al 0.000 0.000 0.000 1
Ag1 Ag 0.500 0.500 0.228 1
Hg1 Hg 0.000 0.000 0.500 1
```

crystal system: orthorhombic
polymorph energy (0 for the lowest one): 34.8 meV/atom
energy of formation: 0.06 eV/atom
total magnetization: 0.00 Bohr magnetons per cell

Record 10
# AlAg2Hg

A geometry-optimized AlAg2Hg structure (PBE, the Alexandria database).

```
data_AlAg2Hg
_chemical_formula_sum 'Al2 Ag4 Hg2'
_cell_length_a 2.989
_cell_length_b 5.419
_cell_length_c 9.523
_cell_angle_alpha 90.00
_cell_angle_beta 90.00
_cell_angle_gamma 90.00
_space_group_name_H-M_alt 'C m m m'
_space_group_IT_number 65
_space_group_name_Hall '-C 2 2'
loop_
_atom_site_label
_atom_site_type_symbol
_atom_site_fract_x
_atom_site_fract_y
_atom_site_fract_z
_atom_site_occupancy
Al1 Al 0.000 0.000 0.000 1
Ag1 Ag 0.000 0.500 0.231 1
Hg1 Hg 0.000 0.000 0.500 1
```

crystal system: orthorhombic
polymorph energy (0 for the lowest one): 52.2 meV/atom
energy of formation: 0.08 eV/atom
total magnetization: 0.00 Bohr magnetons per cell

Record 11
# Al2AgHg

A geometry-optimized Al2AgHg structure (PBE, the Alexandria database).

```
data_Al2AgHg
_chemical_formula_sum 'Al8 Ag4 Hg4'
_cell_length_a 7.546
_cell_length_b 7.546
_cell_length_c 5.851
_cell_angle_alpha 90.00
_cell_angle_beta 90.00
_cell_angle_gamma 90.00
_space_group_name_H-M_alt 'I -4 2 d'
_space_group_IT_number 122
_space_group_name_Hall 'I -4 2bw'
loop_
_atom_site_label
_atom_site_type_symbol
_atom_site_fract_x
_atom_site_fract_y
_atom_site_fract_z
_atom_site_occupancy
Al1 Al 0.238 0.250 0.125 1
Ag1 Ag 0.000 0.000 0.000 1
Hg1 Hg 0.000 0.000 0.500 1
```

crystal system: tetragonal
energy of formation: 0.25 eV/atom
total magnetization: 0.00 Bohr magnetons per cell

Record 12
# Al2AgHg

A geometry-optimized Al2AgHg structure (PBE, the Alexandria database).

```
data_Al2AgHg
_chemical_formula_sum 'Al4 Ag2 Hg2'
_cell_length_a 4.141
_cell_length_b 4.203
_cell_length_c 8.614
_cell_angle_alpha 90.00
_cell_angle_beta 90.00
_cell_angle_gamma 90.00
_space_group_name_H-M_alt 'C m m 2'
_space_group_IT_number 35
_space_group_name_Hall 'C 2 -2'
loop_
_atom_site_label
_atom_site_type_symbol
_atom_site_fract_x
_atom_site_fract_y
_atom_site_fract_z
_atom_site_occupancy
Al1 Al 0.000 0.000 0.000 1
Al2 Al 0.000 0.500 0.236 1
Ag1 Ag 0.000 0.500 0.782 1
Hg1 Hg 0.000 0.000 0.507 1
```

crystal system: orthorhombic
energy of formation: 0.08 eV/atom
total magnetization: 0.00 Bohr magnetons per cell